VASP calculation (GGA-PBE) on AgPt8Rh2 after structural relaxation.

- N(E_F): 19.82 states/eV/cell
- Magnetization: 0.00 Bohr magnetons per cell
- Final energy: -0.21982 Ha/atom
- Energy of formation from the pure elements: 0.01 eV/atom
- Volume: 170.8 Å³/f.u.

Cell and atoms, written as POSCAR:
```
AgPt8Rh2
1.0
3.798 0.000 -1.092
-0.598 5.886 -2.081
0.069 0.606 7.390
Ag Pt Rh
1 8 2
Direct
0.500 0.000 0.000
0.594 0.456 0.188
0.317 0.085 0.633
0.139 0.191 0.279
0.047 0.724 0.095
0.861 0.809 0.721
0.683 0.915 0.367
0.406 0.544 0.812
0.953 0.276 0.905
0.226 0.635 0.451
0.774 0.365 0.549
```